Ca2Tl3Sn: optimized geometry, GGA-PBE.

Properties
Formation enthalpy at 0 K   -1.71 eV/f.u.
Space group   C2/c
N(E_F)   2.63 states/eV/f.u.
E   -2.803 eV/atom

a b c (Å): 6.732 6.732 8.613
angles (deg): 104.19 104.19 95.69
Atoms (fractional coordinates):
1 Ca 0.102 0.641 0.873
2 Ca 0.359 0.898 0.627
3 Ca 0.641 0.102 0.373
4 Ca 0.898 0.359 0.127
5 Tl 0.056 0.944 0.250
6 Tl 0.211 0.381 0.519
7 Tl 0.381 0.211 0.019
8 Tl 0.619 0.789 0.981
9 Tl 0.789 0.619 0.481
10 Tl 0.944 0.056 0.750
11 Sn 0.362 0.638 0.250
12 Sn 0.638 0.362 0.750